DFT (PBE with a Hubbard U) results for an optimized crystal structure of RbMnMoF6.

a b c (Å): 7.6954 7.8187 7.8226
angles (deg): 119.98 119.46 90.00
Each line ends with the local moment (μB).
Fractional coordinates of all 18 atoms:
1 F 0.5833 0.3293 0.7612  0.04
2 Rb 0.9191 0.6691 0.8383  0.00
3 F 0.5833 0.9319 0.7612  0.04
4 F 0.4275 0.6775 0.8551  0.03
5 F 0.1779 0.9319 0.7612  0.04
6 F 0.8204 0.0704 0.6407  0.04
7 F 0.1796 0.9296 0.3593  0.04
8 Rb 0.0809 0.3309 0.1617  0.00
9 F 0.8221 0.0681 0.2388  0.04
10 Mo 0.5000 0.5000 0.0000  2.80
11 Mn 0.5000 0.0000 0.5000  4.70
12 F 0.1779 0.3293 0.7612  0.04
13 Mo 0.5000 0.0000 0.0000  2.80
14 F 0.4167 0.6707 0.2388  0.04
15 F 0.4167 0.0681 0.2388  0.04
16 Mn 0.0000 0.0000 0.5000  4.70
17 F 0.8221 0.6707 0.2388  0.04
18 F 0.5725 0.3225 0.1449  0.03

Properties
Energy   -5.664 eV/atom